Below is a geometry-optimized BeTe5 structure, with properties calculated at the PBE level.

abc: 7.1853 7.1853 3.7669
angles: 90.00 90.00 120.00
Space group P-62m (No. 189)
Asymmetric unit:
Be1 0.0000 0.0000 0.0000 x1
Te1 0.0000 0.7404 0.5000 x3
Te2 0.3333 0.6667 0.0000 x2

Output
- excess energy over the best structure of this formula in the dataset (eV/atom) = 0.1832
- crystal system = hexagonal
- N(E_F) (states/eV/f.u.) = 4.09